The following is a PBE calculation of VSnPd6 after structural relaxation, from Alexandria via LeMat-Bulk.

Output
Theoretical density   10.739 Mg/m³
Final energy   -0.4333 Ry/atom
Spin magnetization   1.0 Bohr magnetons per cell
N(E_F)   0.81 states/eV per atom
Formation enthalpy at 0 K   -34.7 kJ/mol of atoms

a = 3.971 Å, b = 3.971 Å, c = 7.924 Å
α = 90.00°, β = 90.00°, γ = 90.00°
Last column: magnetic moment on the atom in μB.
Fractional coordinates of all 8 atoms:
V (0.000, 0.000, 0.500)  1.11
Sn (0.000, 0.000, 0.000)  0.00
Pd (0.500, 0.500, 0.000)  -0.01
Pd (0.500, 0.500, 0.500)  -0.06
Pd (0.500, 0.000, 0.263)  -0.03
Pd (0.500, 0.000, 0.737)  -0.03
Pd (0.000, 0.500, 0.263)  -0.03
Pd (0.000, 0.500, 0.737)  -0.03

The following is a PBE calculation of MgTe2AsS after structural relaxation, from Alexandria via LeMat-Bulk.

Output
Theoretical density   4.721 Mg/m³
Final energy   -0.2213 Ry/atom
Spin magnetization   0.0 Bohr magnetons per cell
N(E_F)   0.60 states/eV per atom
Formation energy from raw total energies   320 meV/atom

a = 5.349 Å, b = 4.751 Å, c = 5.349 Å
α = 90.00°, β = 90.00°, γ = 90.00°
Fractional coordinates of all 5 atoms:
Mg (0.000, 0.500, 0.000)
As (0.500, 0.500, 0.500)
Te (0.000, 0.000, 0.500)
Te (0.500, 0.000, 0.000)
S (0.000, 0.000, 0.000)